Record 1
This record from Alexandria describes a relaxed structure of CsBa2PmCl8. The functional is PBE-GGA.

Output
Density in g/cm³: 3.39
Raw formation energy in eV per atom: -2.334

```
data_CsBa2PmCl8
_chemical_formula_sum 'Cs1 Ba2 Pm1 Cl8'
_space_group_name_H-M_alt 'P 1 2/m 1'
_space_group_IT_number 10
_cell_length_a 5.5415
_cell_length_b 10.1744
_cell_length_c 7.3379
_cell_angle_alpha 90.00
_cell_angle_beta 98.03
_cell_angle_gamma 90.00
loop_
_space_group_symop_operation_xyz
'x,y,z'
'-x,-y,-z'
'-x,y,-z'
'x,-y,z'
loop_
_atom_site_label
_atom_site_type_symbol
_atom_site_fract_x
_atom_site_fract_y
_atom_site_fract_z
Cs1 Cs 0.0000 0.0000 0.0000
Ba1 Ba 0.5000 0.2507 0.5000
Pm1 Pm 0.0000 0.5000 0.0000
Cl1 Cl 0.0344 0.2959 0.7521
Cl2 Cl 0.4555 0.5000 0.2213
Cl3 Cl 0.4576 0.0000 0.7283
```

---

Record 2
This record from Alexandria describes a relaxed structure of CsBaPrCl6. The functional is PBE-GGA.

Output
Density in g/cm³: 2.69
Raw formation energy in eV per atom: -2.310

```
data_CsBaPrCl6
_chemical_formula_sum 'Cs2 Ba2 Pr2 Cl12'
_space_group_name_H-M_alt 'P -3 1 c'
_space_group_IT_number 163
_space_group_name_Hall '-P 3 2c'
_cell_length_a 7.8794
_cell_length_b 7.8794
_cell_length_c 14.3351
_cell_angle_alpha 90.00
_cell_angle_beta 90.00
_cell_angle_gamma 120.00
loop_
_atom_site_label
_atom_site_type_symbol
_atom_site_fract_x
_atom_site_fract_y
_atom_site_fract_z
Cs1 Cs 0.0000 0.0000 0.0000
Ba1 Ba 0.3333 0.6667 0.2500
Pr1 Pr 0.3333 0.6667 0.7500
Cl1 Cl 0.0297 0.3878 0.6409
```

---

Record 3
This record from Alexandria describes a relaxed structure of CsBa2PrCl8. The functional is PBE-GGA.

Output
Density in g/cm³: 3.40
Raw formation energy in eV per atom: -2.340

```
data_CsBa2PrCl8
_chemical_formula_sum 'Cs1 Ba2 Pr1 Cl8'
_space_group_name_H-M_alt 'P 1 2/m 1'
_space_group_IT_number 10
_cell_length_a 5.2844
_cell_length_b 10.3364
_cell_length_c 7.4324
_cell_angle_alpha 90.00
_cell_angle_beta 90.20
_cell_angle_gamma 90.00
loop_
_space_group_symop_operation_xyz
'x,y,z'
'-x,-y,-z'
'-x,y,-z'
'x,-y,z'
loop_
_atom_site_label
_atom_site_type_symbol
_atom_site_fract_x
_atom_site_fract_y
_atom_site_fract_z
Cs1 Cs 0.0000 0.0000 0.0000
Ba1 Ba 0.5000 0.2487 0.5000
Pr1 Pr 0.0000 0.5000 0.0000
Cl1 Cl 0.0009 0.2908 0.7502
Cl2 Cl 0.4986 0.0000 0.7277
Cl3 Cl 0.4989 0.5000 0.2164
```

---

Record 4
This record from Alexandria describes a relaxed structure of Cs2BaPtCl6. The functional is PBE-GGA.

Output
Density in g/cm³: 3.92
Raw formation energy in eV per atom: -1.531

```
data_Cs2BaPtCl6
_chemical_formula_sum 'Cs8 Ba4 Pt4 Cl24'
_space_group_name_H-M_alt 'F m -3 m'
_space_group_IT_number 225
_space_group_name_Hall '-F 4 2 3'
_cell_length_a 11.1198
_cell_length_b 11.1198
_cell_length_c 11.1198
_cell_angle_alpha 90.00
_cell_angle_beta 90.00
_cell_angle_gamma 90.00
loop_
_atom_site_label
_atom_site_type_symbol
_atom_site_fract_x
_atom_site_fract_y
_atom_site_fract_z
Cs1 Cs 0.2500 0.2500 0.2500
Ba1 Ba 0.0000 0.0000 0.0000
Pt1 Pt 0.0000 0.0000 0.5000
Cl1 Cl 0.0000 0.0000 0.2704
```

---

Record 5
This record from Alexandria describes a relaxed structure of Cs2BaPuCl6. The functional is PBE-GGA.

Output
Density in g/cm³: 3.73
Raw formation energy in eV per atom: -2.066

```
data_Cs2BaPuCl6
_chemical_formula_sum 'Cs4 Ba2 Pu2 Cl12'
_space_group_name_H-M_alt 'P 1 21/c 1'
_space_group_IT_number 14
_cell_length_a 8.0418
_cell_length_b 8.2867
_cell_length_c 13.9975
_cell_angle_alpha 90.00
_cell_angle_beta 124.75
_cell_angle_gamma 90.00
loop_
_space_group_symop_operation_xyz
'x,y,z'
'-x,-y,-z'
'-x,y+1/2,-z+1/2'
'x,-y+1/2,z+1/2'
loop_
_atom_site_label
_atom_site_type_symbol
_atom_site_fract_x
_atom_site_fract_y
_atom_site_fract_z
Cs1 Cs 0.2347 0.0525 0.2495
Ba1 Ba 0.5000 0.0000 0.0000
Pu1 Pu 0.0000 0.0000 0.5000
Cl1 Cl 0.1502 0.2168 0.9547
Cl2 Cl 0.2397 0.6994 0.9554
Cl3 Cl 0.3248 0.0277 0.7403
```

---

Record 6
This record from Alexandria describes a relaxed structure of CsBaPuCl6. The functional is PBE-GGA.

Output
Density in g/cm³: 3.18
Raw formation energy in eV per atom: -2.147

```
data_CsBaPuCl6
_chemical_formula_sum 'Cs2 Ba2 Pu2 Cl12'
_space_group_name_H-M_alt 'P -3 1 c'
_space_group_IT_number 163
_space_group_name_Hall '-P 3 2c'
_cell_length_a 7.8404
_cell_length_b 7.8404
_cell_length_c 14.2757
_cell_angle_alpha 90.00
_cell_angle_beta 90.00
_cell_angle_gamma 120.00
loop_
_atom_site_label
_atom_site_type_symbol
_atom_site_fract_x
_atom_site_fract_y
_atom_site_fract_z
Cs1 Cs 0.0000 0.0000 0.0000
Ba1 Ba 0.3333 0.6667 0.2500
Pu1 Pu 0.3333 0.6667 0.7500
Cl1 Cl 0.0338 0.3881 0.6429
```

---

Spin magnetization list, top to bottom, in μB per cell: 0.0; 0.0; 0.0; 8.0; 12.0; 10.0